(1)
## Sr2CrAsCl (GGA-PBE)

Data for crystalline Sr2CrAsCl at its relaxed geometry.

* crystal system: tetragonal
* theoretical density: 3.2 g/cm³
* space group: P4/mmm
* Fermi-level density of states: 3.6 states/eV/cell

abc: 6.108 6.108 4.705
angles: 90.00 90.00 90.00
Atoms (fractional coordinates):
Sr 0.000 0.500 0.000
Sr 0.500 0.000 0.000
Cr 0.000 0.000 0.500
As 0.000 0.000 0.000
Cl 0.500 0.500 0.500



(2)
## TaCrAs2Cl (GGA-PBE)

Data for crystalline TaCrAs2Cl at its relaxed geometry.

* crystal system: tetragonal
* theoretical density: 7.0 g/cm³
* space group: P4/mmm
* Fermi-level density of states: 4.7 states/eV/cell

abc: 4.484 4.484 4.951
angles: 90.00 90.00 90.00
Atoms (fractional coordinates):
Ta 0.000 0.000 0.000
Cr 0.000 0.000 0.500
As 0.000 0.500 0.500
As 0.500 0.000 0.500
Cl 0.500 0.500 0.000



(3)
## TlCrAs2Cl (GGA-PBE)

Data for crystalline TlCrAs2Cl at its relaxed geometry.

* crystal system: tetragonal
* theoretical density: 5.0 g/cm³
* space group: P4/mmm
* Fermi-level density of states: 7.5 states/eV/cell

abc: 5.279 5.279 5.315
angles: 90.00 90.00 90.00
Atoms (fractional coordinates):
Tl 0.000 0.000 0.000
Cr 0.000 0.000 0.500
As 0.000 0.500 0.000
As 0.500 0.000 0.000
Cl 0.500 0.500 0.500



(4)
## TlCrAsCl6 (GGA-PBE)

Data for crystalline TlCrAsCl6 at its relaxed geometry.

* crystal system: monoclinic
* theoretical density: 3.3 g/cm³
* space group: C2

abc: 6.624 6.624 6.992
angles: 91.93 91.93 117.72
Atoms (fractional coordinates):
Tl 0.000 0.000 0.000
Cr 0.325 0.675 0.500
As 0.665 0.335 0.500
Cl 0.356 0.407 0.286
Cl 0.362 0.009 0.681
Cl 0.593 0.644 0.714
Cl 0.640 0.042 0.283
Cl 0.958 0.360 0.717
Cl 0.991 0.638 0.319



(5)
## CsAs2Cl6 (GGA-PBE)

Data for crystalline CsAs2Cl6 at its relaxed geometry.

* crystal system: monoclinic
* theoretical density: 2.1 g/cm³
* space group: C2/c
* Fermi-level density of states: 1.2 states/eV/cell

abc: 9.486 9.486 10.430
angles: 109.93 109.93 102.90
Atoms (fractional coordinates):
Cs 0.099 0.901 0.750
Cs 0.901 0.099 0.250
As 0.301 0.425 0.796
As 0.425 0.301 0.296
As 0.575 0.699 0.704
As 0.699 0.575 0.204
Cl 0.048 0.216 0.650
Cl 0.211 0.615 0.888
Cl 0.216 0.048 0.150
Cl 0.342 0.375 0.521
Cl 0.375 0.342 0.021
Cl 0.385 0.789 0.612
Cl 0.615 0.211 0.388
Cl 0.625 0.658 0.979
Cl 0.658 0.625 0.479
Cl 0.784 0.952 0.850
Cl 0.789 0.385 0.112
Cl 0.952 0.784 0.350



(6)
## Cs3AsCl7 (GGA-PBE)

Data for crystalline Cs3AsCl7 at its relaxed geometry.

* crystal system: tetragonal
* theoretical density: 3.1 g/cm³
* space group: P4/mbm
* Fermi-level density of states: 24.0 states/eV/cell

abc: 10.269 10.269 7.347
angles: 90.00 90.00 90.00
Atoms (fractional coordinates):
Cs 0.000 0.000 0.000
Cs 0.180 0.320 0.500
Cs 0.320 0.820 0.500
Cs 0.500 0.500 0.000
Cs 0.680 0.180 0.500
Cs 0.820 0.680 0.500
As 0.000 0.500 0.000
As 0.500 0.000 0.000
Cl 0.000 0.000 0.500
Cl 0.116 0.616 0.233
Cl 0.116 0.616 0.767
Cl 0.165 0.335 0.000
Cl 0.335 0.835 0.000
Cl 0.384 0.116 0.233
Cl 0.384 0.116 0.767
Cl 0.500 0.500 0.500
Cl 0.616 0.884 0.233
Cl 0.616 0.884 0.767
Cl 0.665 0.165 0.000
Cl 0.835 0.665 0.000
Cl 0.884 0.384 0.233
Cl 0.884 0.384 0.767



(7)
## Cs3As2Cl9 (GGA-PBE)

Data for crystalline Cs3As2Cl9 at its relaxed geometry.

* crystal system: trigonal
* theoretical density: 3.1 g/cm³
* space group: P-3m1
* Fermi-level density of states: 0.0 states/eV/cell

abc: 7.604 7.604 9.216
angles: 90.00 90.00 120.00
Atoms (fractional coordinates):
Cs 0.000 0.000 0.000
Cs 0.333 0.667 0.320
Cs 0.667 0.333 0.680
As 0.333 0.667 0.820
As 0.667 0.333 0.180
Cl 0.000 0.500 0.000
Cl 0.184 0.368 0.679
Cl 0.184 0.816 0.679
Cl 0.368 0.184 0.321
Cl 0.500 0.000 0.000
Cl 0.500 0.500 0.000
Cl 0.632 0.816 0.679
Cl 0.816 0.184 0.321
Cl 0.816 0.632 0.321



(8)
## CsAs3Cl (GGA-PBE)

Data for crystalline CsAs3Cl at its relaxed geometry.

* crystal system: cubic
* theoretical density: 4.4 g/cm³
* space group: Pm-3m
* Fermi-level density of states: 6.6 states/eV/cell

abc: 5.277 5.277 5.277
angles: 90.00 90.00 90.00
Atoms (fractional coordinates):
Cs 0.000 0.000 0.000
As 0.000 0.500 0.500
As 0.500 0.000 0.500
As 0.500 0.500 0.000
Cl 0.500 0.500 0.500



Electronic total energy, respectively: -4.49, -5.99, -3.05, -3.92, -3.22, -3.18, -3.36, -2.65 eV per atom.
ΔE_f (raw), respectively: -593, 530, 1580, -835, -866, -1352, -1323, 681 meV/atom.